[1]
## BiAs2PdO8 (GGA-PBE)

Data for a relaxed BiAs2PdO8 crystal.

```
data_BiAs2PdO8
_chemical_formula_sum 'Bi1 As2 Pd1 O8'
_cell_length_a 5.5159
_cell_length_b 5.5159
_cell_length_c 6.8433
_cell_angle_alpha 90.00
_cell_angle_beta 90.00
_cell_angle_gamma 120.00
_symmetry_space_group_name_H-M 'P -3 m 1'
_symmetry_Int_Tables_number 164
_symmetry_space_group_name_Hall '-P 3 2"'
loop_
_atom_site_label
_atom_site_type_symbol
_atom_site_fract_x
_atom_site_fract_y
_atom_site_fract_z
_atom_site_occupancy
Bi1 Bi 0.0000 0.0000 0.0000 1
As1 As 0.3333 0.6667 0.2189 1
Pd1 Pd 0.0000 0.0000 0.5000 1
O1 O 0.1581 0.3162 0.2863 1
O2 O 0.3333 0.6667 0.9721 1
```

Output
D(E_F) = 0.267 states/eV per atom

---

[2]
## BiAsPtO5 (GGA-PBE)

Data for a relaxed BiAsPtO5 crystal.

```
data_BiAsPtO5
_chemical_formula_sum 'Bi4 As4 Pt4 O20'
_cell_length_a 6.466
_cell_length_b 9.461
_cell_length_c 8.713
_cell_angle_alpha 90.00
_cell_angle_beta 110.28
_cell_angle_gamma 90.00
_symmetry_space_group_name_H-M 'C 1 2/c 1'
_symmetry_Int_Tables_number 15
_symmetry_space_group_name_Hall '-C 2yc'
loop_
_atom_site_label
_atom_site_type_symbol
_atom_site_fract_x
_atom_site_fract_y
_atom_site_fract_z
_atom_site_occupancy
Bi1 Bi 0.000 0.000 0.000 1
As1 As 0.000 0.315 0.250 1
Pt1 Pt 0.000 0.302 0.750 1
O1 O 0.000 0.096 0.750 1
O2 O 0.136 0.419 0.414 1
O3 O 0.168 0.190 0.196 1
```

Output
D(E_F) = 0.040 states/eV per atom

---

[3]
## RbBiAs2O8 (GGA-PBE)

Data for a relaxed RbBiAs2O8 crystal.

```
data_RbBiAs2O8
_chemical_formula_sum 'Rb3 Bi3 As6 O24'
_cell_length_a 5.1168
_cell_length_b 5.1168
_cell_length_c 28.5917
_cell_angle_alpha 90.00
_cell_angle_beta 90.00
_cell_angle_gamma 120.00
_symmetry_space_group_name_H-M 'R 3 2'
_symmetry_Int_Tables_number 155
_symmetry_space_group_name_Hall 'R 3 2"'
loop_
_atom_site_label
_atom_site_type_symbol
_atom_site_fract_x
_atom_site_fract_y
_atom_site_fract_z
_atom_site_occupancy
Rb1 Rb 0.0000 0.0000 0.0000 1
Bi1 Bi 0.0000 0.0000 0.5000 1
As1 As 0.0000 0.0000 0.2373 1
O1 O 0.0000 0.0000 0.2957 1
O2 O 0.0034 0.3582 0.8825 1
```

---

It is found that the formation energy (no corrections) values, taken in the order of the records, are -0.87 -0.83 -1.14 eV/atom.
It is found that the calculated volume values, taken in the order of the records, are 15.0 15.6 18.0 Å³/atom.